No. 1
VASP calculation (GGA-PBE) on an optimized crystal structure of Be2V2Sb.

Properties
The space-group type is P4/mbm, No. 127. The formation energy (no corrections) is 0.0316 eV/atom.

Cell lengths 6.1330, 6.1330, 3.4013 Å; angles 90.00, 90.00, 90.00 degrees
With the nearest neighbours (Å) after each atom.
Sites, in units of the cell vectors:
Be: 0.6149 0.1149 0.0000  1 Be 1.99
Be: 0.3851 0.8851 0.0000  1 Be 1.99
Be: 0.1149 0.3851 0.0000  1 Be 1.99
Be: 0.8851 0.6149 0.0000  1 Be 1.99
V: 0.3280 0.1720 0.5000  6 Be 2.47-2.51
V: 0.8280 0.3280 0.5000  6 Be 2.47-2.51
V: 0.1720 0.6720 0.5000  6 Be 2.47-2.51
V: 0.6720 0.8280 0.5000  6 Be 2.47-2.51
Sb: 0.5000 0.5000 0.0000  4 Be 2.46
Sb: 0.0000 0.0000 0.0000  4 Be 2.46

***

No. 2
VASP calculation (GGA-PBE) on an optimized crystal structure of BaSb2Cl.

Properties
The space-group type is P4/mmm, No. 123. The formation energy (no corrections) is -0.6986 eV/atom. The value obtained for the offset from the most stable computed form is 0.322 eV/atom.

Cell lengths 5.2962, 5.2962, 5.7825 Å; angles 90.00, 90.00, 90.00 degrees
With the nearest neighbours (Å) after each atom.
Sites, in units of the cell vectors:
Sb: 0.0000 0.0000 0.0069  2 Sb 2.81-2.97
Sb: 0.0000 0.0000 0.4931  2 Sb 2.81-2.97
Ba: 0.5000 0.5000 0.2500  2 Cl 2.89
Cl: 0.5000 0.5000 0.7500  2 Ba 2.89